The following is a DFT calculation (GGA-PBE) of a relaxed La6Tl2H crystal.

The structure in POSCAR format:
```
La6Tl2H
1.0
-1.2690 -5.4490 3.5376
8.1980 -1.0937 1.2562
-0.5295 5.7476 8.4598
La Tl H
12 4 2
Direct
0.8764 0.9727 0.2460
0.8858 0.7107 0.5429
0.8911 0.6678 0.9587
0.6089 0.1678 0.5413
0.6142 0.2107 0.9571
0.6236 0.4727 0.2540
0.1236 0.0273 0.7540
0.1142 0.2893 0.4571
0.1089 0.3322 0.0413
0.3911 0.8322 0.4587
0.3858 0.7893 0.0429
0.3764 0.5273 0.7460
0.8945 0.3861 0.7347
0.6055 0.8861 0.7653
0.3945 0.1139 0.2347
0.1055 0.6139 0.2653
0.5000 0.5000 0.0000
0.0000 0.0000 0.5000
```

Properties
Magnetic moment: 0.0 Bohr magnetons per cell
Electronic total energy: -4.41 eV/atom